{"formula": "Fe3B2Mo2", "functional": "PBE-GGA", "state": "optimized geometry", "lattice": [[-0.662, 2.825, 1.081], [-0.669, -1.189, 2.698], [8.200, 1.533, 1.015]], "species": ["B", "B", "Mo", "Mo", "Fe", "Fe", "Fe"], "frac_coords": [[0.500, 0.280, 0.560], [0.500, 0.720, 0.440], [0.000, 0.826, 0.651], [0.000, 0.174, 0.349], [0.000, 0.000, 0.000], [0.500, 0.579, 0.158], [0.500, 0.421, 0.842]], "crystal_system": "orthorhombic", "vol_a3_per_cell": 77.4, "n_ef_per_ev_cell": 3.9, "e_form_kcal_per_mol_atoms": -5.92}